The following is a DFT calculation (GGA-PBE) of a relaxed Tm5Sb2C2 crystal.

## Properties
Formation energy without anion corrections ... -5.28 eV per formula unit

a = 19.3062 Å, b = 6.8228 Å, c = 6.6244 Å
α = 90.00°, β = 90.00°, γ = 90.00°
Space group Ima2 (No. 46)
Inequivalent atoms, fractional coordinates:
Tm1 0.0035 0.2495 0.0000 [8 per cell]
Tm2 0.1364 0.5229 0.2436 [8 per cell]
Tm3 0.2500 0.1291 0.1340 [4 per cell]
Sb1 0.1098 0.5125 0.7536 [8 per cell]
C1 0.0000 0.0000 0.7513 [4 per cell]
C2 0.2500 0.0737 0.7898 [4 per cell]


The following is a DFT calculation (GGA-PBE) of a relaxed RbCdGeAu2 crystal.

## Properties
Formation enthalpy at 0 K ... -0.36 eV per formula unit

a = 5.2414 Å, b = 5.2414 Å, c = 5.2893 Å
α = 90.00°, β = 90.00°, γ = 90.00°
Space group P4/mmm (No. 123)
Inequivalent atoms, fractional coordinates:
Rb1 0.0000 0.0000 0.0000 [1 per cell]
Cd1 0.5000 0.5000 0.0000 [1 per cell]
Ge1 0.5000 0.5000 0.5000 [1 per cell]
Au1 0.0000 0.5000 0.5000 [2 per cell]


Ordered uncorrected energy results: -6.04 -2.68; unit eV/atom.